{"formula": "YLuSiNi", "functional": "PBE", "state": "relaxed", "cell": [[0.000, 3.378, 3.378], [3.378, 0.000, 3.378], [3.378, 3.378, 0.000]], "species": ["Lu", "Ni", "Si", "Y"], "frac_coords": [[0.250, 0.250, 0.250], [0.750, 0.750, 0.750], [0.000, 0.000, 0.000], [0.500, 0.500, 0.500]], "crystal_system": "cubic", "space_group": "No. 216"}


{"formula": "FeRe2Pd", "functional": "PBE", "state": "relaxed", "cell": [[-1.146, 0.037, -4.172], [-1.896, -5.113, 0.475], [-3.324, 4.244, 0.951]], "species": ["Fe", "Fe", "Pd", "Pd", "Re", "Re", "Re", "Re"], "frac_coords": [[0.250, 0.840, 0.686], [0.750, 0.686, 0.840], [0.750, 0.671, 0.341], [0.250, 0.341, 0.671], [0.250, 0.839, 0.148], [0.250, 0.319, 0.157], [0.750, 0.157, 0.319], [0.750, 0.148, 0.839]], "de_polymorph_mev_per_atom": 0.0, "crystal_system": "orthorhombic", "space_group": "No. 40"}


{"formula": "ZnCoAg2", "functional": "PBE", "state": "relaxed", "cell": [[-1.286, -4.302, 0.683], [5.352, -1.484, 0.735], [2.318, 0.117, 5.099]], "species": ["Ag", "Ag", "Ag", "Ag", "Co", "Co", "Zn", "Zn"], "frac_coords": [[0.500, 0.164, 0.164], [0.500, 0.667, 0.174], [0.500, 0.174, 0.667], [0.000, 0.836, 0.836], [0.000, 0.798, 0.370], [0.000, 0.370, 0.798], [0.000, 0.327, 0.327], [0.500, 0.664, 0.664]], "crystal_system": "orthorhombic", "space_group": "No. 38"}


Calculated VASP energy (eV per atom), listed in the same order as above: -5.45; -9.53; -3.32
Calculated theoretical density (g cm⁻³), listed in the same order as above: 7.55; 15.80; 9.21